Below is crystalline NbMoO6 at its relaxed geometry, with properties calculated at the GGA+U level. Values from VASP.

Geometry as Quantum ESPRESSO input:
```
&SYSTEM
  ibrav = 0, nat = 8, ntyp = 3
/
ATOMIC_SPECIES
O 16.00 O.upf
Mo 95.94 Mo.upf
Nb 92.91 Nb.upf
ATOMIC_POSITIONS angstrom
O 1.5816 -2.9721 1.2330
O 0.4294 -1.7460 -0.9289
O -0.7767 -4.2390 1.8069
Mo -0.1736 -2.9925 0.4390
Nb 0.0000 0.0000 0.0000
O -0.6187 -1.3467 1.3781
O -1.9288 -3.0129 -0.3550
O 0.2715 -4.6382 -0.5001
CELL_PARAMETERS angstrom
-3.8416 -0.7621 3.7482
0.0991 -2.2631 -4.9250
3.3952 -2.9597 2.0549
```

## Properties
Space group: C2/m
Final energy: -7.44 eV per atom